Record 1
Entry from Alexandria: crystalline ThCuIr at its relaxed geometry (PBE-GGA).

a b c (Å): 4.3442 4.3442 3.7544
angles (deg): 90.00 90.00 120.00
Space group P-6m2 (No. 187)
Unique sites:
Th 0.0000 0.0000 0.0000 (multiplicity 1)
Cu 0.3333 0.6667 0.5000 (multiplicity 1)
Ir 0.6667 0.3333 0.5000 (multiplicity 1)

The energy above the most stable polymorph in this dataset comes out at 1.71 kJ per mole of atoms. As for the total energy: -0.2685 Ha/atom. As for the formation energy: -0.51 eV per atom. For the mass density, the calculation gives 13.20 g/cm³. As for the crystal system: hexagonal.

=====

Record 2
Entry from Alexandria: crystalline Na5AgPb at its relaxed geometry (PBE-GGA).

a b c (Å): 8.574 8.574 11.598
angles (deg): 90.00 103.07 90.00
Space group C2/c (No. 15)
Unique sites:
Na 0.000 0.121 0.250 (multiplicity 4)
Na 0.129 0.368 0.526 (multiplicity 8)
Na 0.202 0.227 0.846 (multiplicity 8)
Ag 0.000 0.478 0.250 (multiplicity 4)
Pb 0.000 0.000 0.000 (multiplicity 4)

As for the total energy: -0.0700 Ha/atom. As for the formation energy: -0.03 eV per atom. For the mass density, the calculation gives 3.44 g/cm³. As for the crystal system: monoclinic.

=====

Record 3
Entry from Alexandria: crystalline PmNd5Al3 at its relaxed geometry (PBE-GGA).

a b c (Å): 16.238 9.317 6.878
angles (deg): 90.00 90.00 90.00
Space group Cmcm (No. 63)
Unique sites:
Pm 0.000 0.000 0.000 (multiplicity 4)
Nd 0.000 0.340 0.250 (multiplicity 4)
Nd 0.163 0.171 0.750 (multiplicity 8)
Nd 0.179 0.500 0.000 (multiplicity 8)
Al 0.000 0.332 0.750 (multiplicity 4)
Al 0.166 0.167 0.250 (multiplicity 8)

As for the total energy: -0.1709 Ha/atom. As for the formation energy: -0.23 eV per atom. For the mass density, the calculation gives 6.05 g/cm³. As for the crystal system: orthorhombic.

=====

Record 4
Entry from Alexandria: crystalline PtS2I2 at its relaxed geometry (PBE-GGA).

a b c (Å): 8.771 11.342 7.549
angles (deg): 90.00 101.02 90.00
Space group C2/m (No. 12)
Unique sites:
Pt 0.000 0.152 0.000 (multiplicity 4)
S 0.014 0.000 0.794 (multiplicity 4)
S 0.238 0.000 0.920 (multiplicity 4)
I 0.064 0.313 0.256 (multiplicity 8)

The energy above the most stable polymorph in this dataset comes out at 0.00 kJ per mole of atoms. As for the total energy: -0.1248 Ha/atom. The value obtained for the uncorrected formation energy is 7.9 kJ per mole of atoms. For the mass density, the calculation gives 4.62 g/cm³. As for the crystal system: monoclinic.

=====

Record 5
Entry from Alexandria: crystalline LaY2TlH at its relaxed geometry (PBE-GGA).

a b c (Å): 5.013 5.013 4.804
angles (deg): 90.00 90.00 90.00
Space group P4/mmm (No. 123)
Unique sites:
La 0.000 0.000 0.000 (multiplicity 1)
Y 0.000 0.500 0.500 (multiplicity 2)
Tl 0.500 0.500 0.000 (multiplicity 1)
H 0.000 0.000 0.500 (multiplicity 1)

As for the total energy: -0.1850 Ha/atom. For the mass density, the calculation gives 7.18 g/cm³. As for the crystal system: tetragonal.

=====

Record 6
Entry from Alexandria: crystalline Ac2TbHgSe5 at its relaxed geometry (PBE-GGA).

a b c (Å): 4.268 18.224 13.047
angles (deg): 90.00 90.00 90.00
Space group Cmc2_1 (No. 36)
Unique sites:
Ac 0.000 0.120 0.000 (multiplicity 4)
Ac 0.000 0.133 0.623 (multiplicity 4)
Tb 0.000 0.197 0.321 (multiplicity 4)
Hg 0.000 0.461 0.773 (multiplicity 4)
Se 0.000 0.045 0.394 (multiplicity 4)
Se 0.000 0.291 0.974 (multiplicity 4)
Se 0.000 0.307 0.666 (multiplicity 4)
Se 0.000 0.354 0.315 (multiplicity 4)
Se 0.000 0.496 0.080 (multiplicity 4)

As for the total energy: -0.1827 Ha/atom. The value obtained for the uncorrected formation energy is -151.8 kJ per mole of atoms. For the mass density, the calculation gives 7.91 g/cm³. As for the crystal system: orthorhombic.

=====

Record 7
Entry from Alexandria: crystalline KTl2Au at its relaxed geometry (PBE-GGA).

a b c (Å): 7.627 7.627 7.627
angles (deg): 90.00 90.00 90.00
Space group Fm-3m (No. 225)
Unique sites:
K 0.000 0.000 0.000 (multiplicity 4)
Tl 0.250 0.250 0.250 (multiplicity 8)
Au 0.000 0.000 0.500 (multiplicity 4)

As for the total energy: -0.0850 Ha/atom. As for the formation energy: -0.04 eV per atom. For the mass density, the calculation gives 9.65 g/cm³. As for the crystal system: cubic.

=====

Record 8
Entry from Alexandria: crystalline TbZn9In2 at its relaxed geometry (PBE-GGA).

a b c (Å): 5.4297 5.4297 25.2296
angles (deg): 90.00 90.00 120.00
Space group R-3m (No. 166, hexagonal axes)
Unique sites:
Tb 0.0000 0.0000 0.0000 (multiplicity 3)
Zn 0.0000 0.0000 0.3322 (multiplicity 6)
Zn 0.0000 0.0000 0.5000 (multiplicity 3)
Zn 0.0016 0.5008 0.9170 (multiplicity 18)
In 0.0000 0.0000 0.1380 (multiplicity 6)

As for the total energy: -0.0699 Ha/atom. As for the formation energy: -0.10 eV per atom. For the mass density, the calculation gives 7.56 g/cm³. As for the crystal system: trigonal.

=====

Record 9
Entry from Alexandria: crystalline Ac4Se2SN2 at its relaxed geometry (PBE-GGA).

a b c (Å): 16.145 4.211 7.715
angles (deg): 90.00 109.80 90.00
Space group C2/m (No. 12)
Unique sites:
Ac 0.035 0.000 0.256 (multiplicity 4)
Ac 0.214 0.500 0.672 (multiplicity 4)
Se 0.125 0.500 0.037 (multiplicity 4)
S 0.000 0.500 0.500 (multiplicity 2)
N 0.172 0.000 0.483 (multiplicity 4)

As for the total energy: -0.2451 Ha/atom. The value obtained for the uncorrected formation energy is -170.0 kJ per mole of atoms. For the mass density, the calculation gives 7.58 g/cm³. As for the crystal system: monoclinic.

=====

Record 10
Entry from Alexandria: crystalline ScGeSb2I at its relaxed geometry (PBE-GGA).

a b c (Å): 5.578 5.578 5.482
angles (deg): 90.00 90.00 90.00
Space group P4/mmm (No. 123)
Unique sites:
Sc 0.000 0.000 0.000 (multiplicity 1)
Ge 0.500 0.500 0.500 (multiplicity 1)
Sb 0.000 0.500 0.000 (multiplicity 2)
I 0.000 0.000 0.500 (multiplicity 1)

The energy above the most stable polymorph in this dataset comes out at 0.00 kJ per mole of atoms. As for the total energy: -0.1416 Ha/atom. The value obtained for the uncorrected formation energy is 28.6 kJ per mole of atoms. For the mass density, the calculation gives 4.75 g/cm³. As for the crystal system: tetragonal.

=====

Record 11
Entry from Alexandria: crystalline HoPaNiS4 at its relaxed geometry (PBE-GGA).

a b c (Å): 6.260 5.957 7.510
angles (deg): 90.00 106.31 90.00
Space group P2_1/m (No. 11)
Unique sites:
Ho 0.246 0.250 0.057 (multiplicity 2)
Pa 0.241 0.250 0.557 (multiplicity 2)
Ni 0.240 0.750 0.331 (multiplicity 2)
S 0.016 0.511 0.752 (multiplicity 4)
S 0.435 0.750 0.119 (multiplicity 2)
S 0.438 0.750 0.618 (multiplicity 2)

As for the total energy: -0.2446 Ha/atom. The value obtained for the uncorrected formation energy is -140.9 kJ per mole of atoms. For the mass density, the calculation gives 7.20 g/cm³. As for the crystal system: monoclinic.

=====

Q: The highest mass density belongs to which entry?
A: ThCuIr

=====

Q: mass density of number 8 (TbZn9In2)?
A: 7.56 g/cm³

=====

Q: Which value of mass density does entry 2 give?
A: 3.44 g/cm³